# 1
# CsRb2AgI4

An optimized crystal structure of CsRb2AgI4 (GGA-PBE, the Alexandria database).

Lattice parameters (Å, degrees): 5.0598 17.2275 18.3752 90.00 90.00 90.00
Last column: nearest neighbours and their distance in Å.
Space group Cmcm (No. 63)
One atom of each set of equivalent atoms:
Cs  0.0000  0.1060  0.2500  6 I 3.96-4.06
Rb  0.0000  0.3652  0.0552  6 I 3.58-3.73
Ag  0.0000  0.1679  0.7500  4 I 2.88-2.96
I  0.0000  0.0000  0.0000  4 Rb 3.58
I  0.0000  0.2732  0.6285  1 Ag 2.88
I  0.0000  0.4215  0.2500  2 Ag 2.96

The formation energy without anion corrections comes out at -27.488 kcal/mol of atoms.

---

# 2
# CsRbAg2I4

An optimized crystal structure of CsRbAg2I4 (GGA-PBE, the Alexandria database).

Lattice parameters (Å, degrees): 8.7955 9.0493 9.4900 90.00 90.00 90.00
Last column: nearest neighbours and their distance in Å.
Space group I222 (No. 23)
One atom of each set of equivalent atoms:
Cs  0.0000  0.0000  0.0000  8 I 3.87-4.13
Rb  0.0000  0.0000  0.5000  4 I 3.67
Ag  0.0000  0.5000  0.1738  2 I 2.66
I  0.2175  0.2990  0.7895  1 Ag 2.66

The formation energy without anion corrections comes out at -19.806 kcal/mol of atoms.

---

# 3
# CsRb2AgI

An optimized crystal structure of CsRb2AgI (GGA-PBE, the Alexandria database).

Lattice parameters (Å, degrees): 6.7614 6.7614 7.0725 90.00 90.00 90.00
Last column: nearest neighbours and their distance in Å.
Space group P4/mmm (No. 123)
One atom of each set of equivalent atoms:
Cs  0.0000  0.0000  0.0000  2 Ag 3.54
Rb  0.0000  0.5000  0.5000  2 Ag 3.38
Ag  0.0000  0.0000  0.5000  4 Rb 3.38, 2 Cs 3.54
I  0.5000  0.5000  0.0000  4 Cs 4.78, 8 Rb 4.89

The formation energy without anion corrections comes out at -8.666 kcal/mol of atoms.

---

# 4
# CsRbAg2I5

An optimized crystal structure of CsRbAg2I5 (GGA-PBE, the Alexandria database).

Lattice parameters (Å, degrees): 5.7102 5.7102 11.9923 90.00 90.00 90.00
Last column: nearest neighbours and their distance in Å.
Space group P4/mmm (No. 123)
One atom of each set of equivalent atoms:
Cs  0.0000  0.0000  0.0000  12 I 4.04-4.52
Rb  0.0000  0.0000  0.5000  8 I 3.79
Ag  0.5000  0.5000  0.2485  5 I 2.90-2.98
I  0.0000  0.5000  0.2919  2 Ag 2.90
I  0.5000  0.5000  0.0000  2 Ag 2.98

The formation energy without anion corrections comes out at -17.771 kcal/mol of atoms.

---

# 5
# Cs2AgSI6

An optimized crystal structure of Cs2AgSI6 (GGA-PBE, the Alexandria database).

Lattice parameters (Å, degrees): 8.2378 8.2378 11.7042 90.00 90.00 90.00
Last column: nearest neighbours and their distance in Å.
Space group I4/mmm (No. 139)
One atom of each set of equivalent atoms:
Cs  0.0000  0.5000  0.2500  12 I 4.12-4.13
Ag  0.0000  0.0000  0.0000  6 I 2.95-2.96
S  0.0000  0.0000  0.5000  6 I 2.88-2.89
I  0.0000  0.0000  0.2532  1 S 2.89, 1 Ag 2.96
I  0.2472  0.2472  0.5000  1 S 2.88, 1 Ag 2.95

The formation energy without anion corrections comes out at -13.394 kcal/mol of atoms.

---

# 6
# CsAgSbI5

An optimized crystal structure of CsAgSbI5 (GGA-PBE, the Alexandria database).

Lattice parameters (Å, degrees): 10.2967 13.9424 11.5145 90.00 111.91 90.00
Last column: nearest neighbours and their distance in Å.
Space group C2/c (No. 15)
One atom of each set of equivalent atoms:
Cs  0.0000  0.1472  0.2500  7 I 3.86-4.23
Ag  0.0000  0.1944  0.7500  4 I 2.83-2.91
Sb  0.0000  0.5000  0.0000  6 I 3.05-3.07
I  0.0000  0.4280  0.2500  2 Sb 3.05
I  0.1050  0.2978  0.5918  1 Ag 2.83, 1 Sb 3.06
I  0.1993  0.0719  0.9370  1 Ag 2.91, 1 Sb 3.07

The formation energy without anion corrections comes out at -14.066 kcal/mol of atoms.

---

# 7
# CsAg2SbI6

An optimized crystal structure of CsAg2SbI6 (GGA-PBE, the Alexandria database).

Lattice parameters (Å, degrees): 15.0669 15.3093 8.2723 90.00 96.21 90.00
Last column: nearest neighbours and their distance in Å.
Space group C2/c (No. 15)
One atom of each set of equivalent atoms:
Cs  0.0000  0.0817  0.2500  6 I 3.80-3.97
Ag  0.1011  0.4245  0.2770  3 I 2.79-2.81, 1 Ag 3.03
Sb  0.0000  0.2717  0.7500  6 I 2.94-3.24
I  0.1154  0.2788  0.0793  1 Ag 2.79, 1 Sb 3.07
I  0.1258  0.1379  0.6592  1 Sb 2.94
I  0.1294  0.4176  0.6161  2 Ag 2.79-2.81

The formation energy without anion corrections comes out at -11.986 kcal/mol of atoms.

---

# 8
# CsAgSb2I

An optimized crystal structure of CsAgSb2I (GGA-PBE, the Alexandria database).

Lattice parameters (Å, degrees): 5.4215 5.4215 7.0306 90.00 90.00 90.00
Last column: nearest neighbours and their distance in Å.
Space group P4/mmm (No. 123)
One atom of each set of equivalent atoms:
Cs  0.0000  0.0000  0.0000  4 I 3.83
Ag  0.5000  0.5000  0.5000  4 Sb 2.71
Sb  0.0000  0.5000  0.5000  2 Ag 2.71
I  0.5000  0.5000  0.0000  2 Ag 3.52, 4 Cs 3.83

The formation energy without anion corrections comes out at -0.202 kcal/mol of atoms. The calculation puts the energy relative to the lowest polymorph listed for this composition at 0.00 kJ per mole of atoms.

---

# 9
# CsAgSb2I

An optimized crystal structure of CsAgSb2I (GGA-PBE, the Alexandria database).

Lattice parameters (Å, degrees): 6.6930 6.6930 6.9353 90.00 90.00 90.00
Last column: nearest neighbours and their distance in Å.
Space group P4/mmm (No. 123)
One atom of each set of equivalent atoms:
Cs  0.0000  0.0000  0.0000  4 Sb 3.35, 2 I 3.47
Ag  0.5000  0.5000  0.5000  4 I 4.73, 8 Sb 4.82
Sb  0.0000  0.5000  0.0000  2 Cs 3.35
I  0.0000  0.0000  0.5000  2 Cs 3.47

The formation energy without anion corrections comes out at 26.552 kcal/mol of atoms. The calculation puts the energy relative to the lowest polymorph listed for this composition at 111.94 kJ per mole of atoms.

---

# 10
# Cs2Ag2SbI6

An optimized crystal structure of Cs2Ag2SbI6 (GGA-PBE, the Alexandria database).

Lattice parameters (Å, degrees): 9.0642 9.0642 22.1488 90.00 90.00 120.00
Last column: nearest neighbours and their distance in Å.
Space group R-3m (No. 166, hexagonal axes)
One atom of each set of equivalent atoms:
Cs  0.0000  0.0000  0.2340  9 I 4.11-4.55, 1 Ag 4.49
Ag  0.0000  0.0000  0.4365  3 I 2.80, 1 Ag 2.81
Sb  0.0000  0.0000  0.0000  6 I 3.10
I  0.0198  0.5099  0.7517  1 Ag 2.80, 1 Sb 3.10

The formation energy without anion corrections comes out at -14.990 kcal/mol of atoms.

---

# 11
# CsAgSbI6

An optimized crystal structure of CsAgSbI6 (GGA-PBE, the Alexandria database).

Lattice parameters (Å, degrees): 7.5645 7.5675 7.7658 102.19 98.64 104.16
Last column: nearest neighbours and their distance in Å.
Space group P1 (No. 1)
One atom of each set of equivalent atoms:
Cs  0.0000  0.0000  0.0000  8 I 3.94-4.35, 1 Ag 4.21
Ag  0.7054  0.1139  0.5521  5 I 2.81-3.12
Sb  0.4534  0.5248  0.4618  6 I 2.90-3.17
I  0.1222  0.2784  0.5408  1 Sb 2.96, 1 Ag 3.12
I  0.2284  0.5705  0.1467  1 Sb 2.90
I  0.4417  0.8772  0.7215  1 Ag 2.99, 1 Sb 3.01
I  0.5364  0.1970  0.2236  1 Ag 2.94, 1 Sb 3.02
I  0.7074  0.4525  0.7873  1 Ag 2.81
I  0.8121  0.7893  0.4184  1 Ag 2.81, 1 Sb 3.06

The formation energy without anion corrections comes out at -11.656 kcal/mol of atoms.

---

# 12
# CsSc2AgI8

An optimized crystal structure of CsSc2AgI8 (GGA-PBE, the Alexandria database).

Lattice parameters (Å, degrees): 7.6429 7.6429 32.8887 90.00 90.00 120.00
Last column: nearest neighbours and their distance in Å.
Space group R-3 (No. 148, hexagonal axes)
One atom of each set of equivalent atoms:
Cs  0.0000  0.0000  0.0000  12 I 4.42-4.44
Sc  0.0000  0.0000  0.2456  4 I 2.72-2.73
Ag  0.0000  0.0000  0.5000  6 I 3.09
I  0.0000  0.0000  0.3282  1 Sc 2.72
I  0.0023  0.6579  0.2221  1 Sc 2.73

The formation energy without anion corrections comes out at -24.230 kcal/mol of atoms.

---

# 13
# CsScAgI5

An optimized crystal structure of CsScAgI5 (GGA-PBE, the Alexandria database).

Lattice parameters (Å, degrees): 10.0173 13.6124 11.1526 90.00 110.38 90.00
Last column: nearest neighbours and their distance in Å.
Space group C2/c (No. 15)
One atom of each set of equivalent atoms:
Cs  0.0000  0.1502  0.2500  7 I 3.81-4.14
Sc  0.0000  0.5000  0.0000  6 I 2.89-2.93
Ag  0.0000  0.1873  0.7500  4 I 2.85-2.90
I  0.0000  0.4359  0.2500  2 Sc 2.92
I  0.1022  0.3050  0.5893  1 Ag 2.85, 1 Sc 2.89
I  0.2077  0.0693  0.9433  1 Ag 2.90, 1 Sc 2.93

The formation energy without anion corrections comes out at -24.166 kcal/mol of atoms.

---

# 14
# Cs3ScAg2I9

An optimized crystal structure of Cs3ScAg2I9 (GGA-PBE, the Alexandria database).

Lattice parameters (Å, degrees): 8.3691 8.3691 10.4208 90.00 90.00 120.00
Last column: nearest neighbours and their distance in Å.
Space group P-3m1 (No. 164)
One atom of each set of equivalent atoms:
Cs  0.0000  0.0000  0.0000  12 I 4.18-4.26
Cs  0.3333  0.6667  0.6703  12 I 4.19-4.23
Sc  0.0000  0.0000  0.5000  6 I 2.91
Ag  0.3333  0.6667  0.1565  6 I 2.91-3.11
I  0.0000  0.5000  0.0000  2 Ag 2.91
I  0.1640  0.3281  0.3395  1 Sc 2.91, 1 Ag 3.11

The formation energy without anion corrections comes out at -22.870 kcal/mol of atoms.

---

# 15
# CsScAg2I6

An optimized crystal structure of CsScAg2I6 (GGA-PBE, the Alexandria database).

Lattice parameters (Å, degrees): 16.1618 14.4904 9.2718 90.00 114.09 90.00
Last column: nearest neighbours and their distance in Å.
Space group C2/c (No. 15)
One atom of each set of equivalent atoms:
Cs  0.0000  0.1696  0.2500  8 I 3.86-4.25
Sc  0.0000  0.1783  0.7500  4 I 2.72-2.74
Ag  0.0675  0.4507  0.1305  4 I 2.86-3.02, 1 Ag 2.89
I  0.1154  0.0704  0.6778  1 Sc 2.72
I  0.1171  0.2778  0.0023  1 Sc 2.74, 1 Ag 3.02
I  0.1300  0.4200  0.4628  3 Ag 2.86-2.98

The formation energy without anion corrections comes out at -19.841 kcal/mol of atoms.

---

# 16
# Cs2AgSeI6

An optimized crystal structure of Cs2AgSeI6 (GGA-PBE, the Alexandria database).

Lattice parameters (Å, degrees): 8.2806 8.2806 42.8455 90.00 90.00 120.00
Last column: nearest neighbours and their distance in Å.
Space group R-3m (No. 166, hexagonal axes)
One atom of each set of equivalent atoms:
Cs  0.0000  0.0000  0.1192  12 I 4.15-4.40
Cs  0.0000  0.0000  0.2976  9 I 4.03-4.15
Ag  0.0000  0.0000  0.4153  6 I 2.95-3.10
Se  0.0000  0.0000  0.0000  6 I 2.99
Se  0.0000  0.0000  0.5000  6 I 2.94
I  0.0028  0.5014  0.8724  1 Se 2.94, 1 Ag 3.10
I  0.0053  0.5027  0.2928  1 Ag 2.95, 1 Se 2.99

The formation energy without anion corrections comes out at -14.244 kcal/mol of atoms. The calculation puts the energy relative to the lowest polymorph listed for this composition at 3.56 kJ per mole of atoms.

---

# 17
# Cs2AgSeI6

An optimized crystal structure of Cs2AgSeI6 (GGA-PBE, the Alexandria database).

Lattice parameters (Å, degrees): 8.3480 8.3480 11.9542 90.00 90.00 90.00
Last column: nearest neighbours and their distance in Å.
Space group I4/mmm (No. 139)
One atom of each set of equivalent atoms:
Cs  0.0000  0.5000  0.2500  12 I 4.18-4.20
Ag  0.0000  0.0000  0.0000  6 I 2.91-3.09
Se  0.0000  0.0000  0.5000  6 I 2.89-2.99
I  0.0000  0.0000  0.2581  1 Se 2.89, 1 Ag 3.09
I  0.2467  0.2467  0.0000  1 Ag 2.91, 1 Se 2.99

The formation energy without anion corrections comes out at -15.096 kcal/mol of atoms. The calculation puts the energy relative to the lowest polymorph listed for this composition at 0.00 kJ per mole of atoms.

---

# 18
# Cs2SiAgI6

An optimized crystal structure of Cs2SiAgI6 (GGA-PBE, the Alexandria database).

Lattice parameters (Å, degrees): 8.2618 8.2618 11.7371 90.00 90.00 90.00
Last column: nearest neighbours and their distance in Å.
Space group I4/mmm (No. 139)
One atom of each set of equivalent atoms:
Cs  0.0000  0.5000  0.2500  12 I 4.13-4.14
Si  0.0000  0.0000  0.0000  6 I 2.83
Ag  0.0000  0.0000  0.5000  6 I 3.01-3.03
I  0.0000  0.0000  0.2415  1 Si 2.83, 1 Ag 3.03
I  0.2422  0.2422  0.0000  1 Si 2.83, 1 Ag 3.01

The formation energy without anion corrections comes out at -16.615 kcal/mol of atoms.

---

# 19
# Cs2SmAg2I6

An optimized crystal structure of Cs2SmAg2I6 (GGA-PBE, the Alexandria database).

Lattice parameters (Å, degrees): 13.8420 9.5107 8.8454 90.00 114.94 90.00
Last column: nearest neighbours and their distance in Å.
Space group C2/m (No. 12)
One atom of each set of equivalent atoms:
Cs  0.2175  0.0000  0.1682  7 I 3.90-4.26, 2 Ag 3.98-4.06
Sm  0.0000  0.0000  0.5000  6 I 3.09-3.11
Ag  0.0407  0.5000  0.3806  1 Ag 2.78, 3 I 2.91-2.99
I  0.0292  0.2254  0.7700  1 Ag 2.91, 1 Sm 3.11
I  0.2452  0.0000  0.6252  1 Ag 2.99, 1 Sm 3.09

The formation energy without anion corrections comes out at -22.849 kcal/mol of atoms.

---

# 20
# CsSmAgI6

An optimized crystal structure of CsSmAgI6 (GGA-PBE, the Alexandria database).

Lattice parameters (Å, degrees): 7.6071 7.7834 8.3487 93.65 97.83 110.77
Last column: nearest neighbours and their distance in Å.
Space group P1 (No. 1)
One atom of each set of equivalent atoms:
Cs  0.0000  0.0000  0.0000  7 I 3.92-4.33
Sm  0.4009  0.6502  0.5074  6 I 2.98-3.19
Ag  0.7864  0.3427  0.4426  5 I 2.82-3.03
I  0.0542  0.5747  0.2347  1 Ag 3.03, 1 Sm 3.09
I  0.1084  0.3158  0.6377  1 Ag 2.83, 1 Sm 3.13
I  0.4283  0.9334  0.7774  1 Sm 2.98
I  0.4837  0.3919  0.2393  1 Ag 2.82
I  0.6478  0.9535  0.3184  1 Ag 2.90, 1 Sm 3.12
I  0.7029  0.5384  0.7137  1 Ag 2.91, 1 Sm 3.09

The formation energy without anion corrections comes out at -22.695 kcal/mol of atoms.

---

Result set for density: 3.812, 4.141, 2.766, 4.538, 4.880, 4.318, 4.313, 4.911, 3.267, 4.314, 4.534, 4.030, 4.288, 4.733, 3.870, 4.754, 4.840, 4.822, 4.383, 4.211 g/cm3, one per record in the order listed.